(1)
A plane-wave DFT calculation with meta-GGA SCAN was carried out for Te2AuF at its PBEsol-relaxed geometry.

Cell and atoms, written as CIF:
```
data_Te2AuF
_chemical_formula_sum 'Te8 Au4 F4'
_cell_length_a 6.7428
_cell_length_b 6.7428
_cell_length_c 6.7428
_cell_angle_alpha 90.00
_cell_angle_beta 90.00
_cell_angle_gamma 90.00
_symmetry_space_group_name_H-M 'F m -3 m'
_symmetry_Int_Tables_number 225
_symmetry_space_group_name_Hall '-F 4 2 3'
loop_
_atom_site_label
_atom_site_fract_x
_atom_site_fract_y
_atom_site_fract_z
Te1 0.2500 0.2500 0.2500
Au1 0.0000 0.0000 0.0000
F1 0.0000 0.0000 0.5000
```

Results
Calculated volume in A^3/atom: 19.2
Energy in eV/cell: -595.523
Total magnetization in μB/atom: 0.0000


(2)
A plane-wave DFT calculation with meta-GGA SCAN was carried out for Ti3AuF at its PBEsol-relaxed geometry.

Cell and atoms, written as CIF:
```
data_Ti3AuF
_chemical_formula_sum 'Ti3 Au1 F1'
_cell_length_a 4.1375
_cell_length_b 4.1375
_cell_length_c 4.1375
_cell_angle_alpha 90.00
_cell_angle_beta 90.00
_cell_angle_gamma 90.00
_symmetry_space_group_name_H-M 'P m -3 m'
_symmetry_Int_Tables_number 221
_symmetry_space_group_name_Hall '-P 4 2 3'
loop_
_atom_site_label
_atom_site_fract_x
_atom_site_fract_y
_atom_site_fract_z
Ti1 0.0000 0.0000 0.5000
Au1 0.5000 0.5000 0.5000
F1 0.0000 0.0000 0.0000
```

Results
Calculated volume in A^3/atom: 14.2
Energy in eV/cell: -125.415
Total magnetization in μB/atom: 0.5401


(3)
A plane-wave DFT calculation with meta-GGA SCAN was carried out for ZrTlAuF2 at its PBEsol-relaxed geometry.

Cell and atoms, written as CIF:
```
data_ZrTlAuF2
_chemical_formula_sum 'Zr1 Tl1 Au1 F2'
_cell_length_a 4.3475
_cell_length_b 4.3475
_cell_length_c 5.3805
_cell_angle_alpha 90.00
_cell_angle_beta 90.00
_cell_angle_gamma 90.00
_symmetry_space_group_name_H-M 'P 4/m m m'
_symmetry_Int_Tables_number 123
_symmetry_space_group_name_Hall '-P 4 2'
loop_
_atom_site_label
_atom_site_fract_x
_atom_site_fract_y
_atom_site_fract_z
Zr1 0.0000 0.0000 0.0000
Tl1 0.5000 0.5000 0.0000
Au1 0.0000 0.0000 0.5000
F1 0.0000 0.5000 0.5000
```

Results
Calculated volume in A^3/atom: 20.3
Energy in eV/cell: -181.213
Total magnetization in μB/atom: 0.0111


(4)
A plane-wave DFT calculation with meta-GGA SCAN was carried out for W2AuF at its PBEsol-relaxed geometry.

Cell and atoms, written as CIF:
```
data_W2AuF
_chemical_formula_sum 'W8 Au4 F4'
_cell_length_a 6.1387
_cell_length_b 6.1387
_cell_length_c 6.1387
_cell_angle_alpha 90.00
_cell_angle_beta 90.00
_cell_angle_gamma 90.00
_symmetry_space_group_name_H-M 'F m -3 m'
_symmetry_Int_Tables_number 225
_symmetry_space_group_name_Hall '-F 4 2 3'
loop_
_atom_site_label
_atom_site_fract_x
_atom_site_fract_y
_atom_site_fract_z
W1 0.2500 0.2500 0.2500
Au1 0.0000 0.0000 0.0000
F1 0.0000 0.0000 0.5000
```

Results
Calculated volume in A^3/atom: 14.5
Energy in eV/cell: -841.834
Total magnetization in μB/atom: 0.0000


(5)
A plane-wave DFT calculation with meta-GGA SCAN was carried out for Y3AuF at its PBEsol-relaxed geometry.

Cell and atoms, written as CIF:
```
data_Y3AuF
_chemical_formula_sum 'Y3 Au1 F1'
_cell_length_a 5.4738
_cell_length_b 5.4738
_cell_length_c 5.4738
_cell_angle_alpha 90.00
_cell_angle_beta 90.00
_cell_angle_gamma 90.00
_symmetry_space_group_name_H-M 'P m -3 m'
_symmetry_Int_Tables_number 221
_symmetry_space_group_name_Hall '-P 4 2 3'
loop_
_atom_site_label
_atom_site_fract_x
_atom_site_fract_y
_atom_site_fract_z
Y1 0.0000 0.0000 0.5000
Au1 0.0000 0.0000 0.0000
F1 0.5000 0.5000 0.5000
```

Results
Calculated volume in A^3/atom: 32.8
Energy in eV/cell: -158.808
Total magnetization in μB/atom: 0.0000


(6)
A plane-wave DFT calculation with meta-GGA SCAN was carried out for Y2AuF2 at its PBEsol-relaxed geometry.

Cell and atoms, written as CIF:
```
data_Y2AuF2
_chemical_formula_sum 'Y4 Au2 F4'
_cell_length_a 3.5725
_cell_length_b 3.5725
_cell_length_c 13.2899
_cell_angle_alpha 90.00
_cell_angle_beta 90.00
_cell_angle_gamma 90.00
_symmetry_space_group_name_H-M 'I 4/m m m'
_symmetry_Int_Tables_number 139
_symmetry_space_group_name_Hall '-I 4 2'
loop_
_atom_site_label
_atom_site_fract_x
_atom_site_fract_y
_atom_site_fract_z
Y1 0.0000 0.0000 0.1334
Au1 0.0000 0.0000 0.5000
F1 0.0000 0.5000 0.2500
```

Results
Calculated volume in A^3/atom: 17.0
Energy in eV/cell: -291.981
Total magnetization in μB/atom: 0.0000


(7)
A plane-wave DFT calculation with meta-GGA SCAN was carried out for Y2Au5F21 at its PBEsol-relaxed geometry.

Cell and atoms, written as CIF:
```
data_Y2Au5F21
_chemical_formula_sum 'Y4 Au10 F42'
_cell_length_a 9.0183
_cell_length_b 7.9245
_cell_length_c 14.7127
_cell_angle_alpha 90.00
_cell_angle_beta 126.62
_cell_angle_gamma 90.00
_symmetry_space_group_name_H-M 'P 1 2/c 1'
_symmetry_Int_Tables_number 13
_symmetry_space_group_name_Hall '-P 2yc'
loop_
_atom_site_label
_atom_site_fract_x
_atom_site_fract_y
_atom_site_fract_z
Y1 0.1863 0.1690 0.0021
Au1 0.1255 0.3270 0.4026
Au2 0.3069 0.0620 0.7932
Au3 0.5000 0.4766 0.7500
F1 0.0000 0.0000 0.0000
F2 0.0221 0.3263 0.0397
F3 0.0855 0.1811 0.6772
F4 0.1196 0.4301 0.9090
F5 0.1375 0.0828 0.3937
F6 0.2574 0.3377 0.3388
F7 0.3042 0.2059 0.8985
F8 0.3097 0.0851 0.1893
F9 0.4002 0.3544 0.1307
F10 0.4012 0.3040 0.6372
F11 0.4640 0.0381 0.0824
```

Results
Calculated volume in A^3/atom: 15.1
Energy in eV/cell: -1068.197
Total magnetization in μB/atom: 0.0000


(8)
A plane-wave DFT calculation with meta-GGA SCAN was carried out for FeAu5 at its PBEsol-relaxed geometry.

Cell and atoms, written as CIF:
```
data_FeAu5
_chemical_formula_sum 'Fe2 Au10'
_cell_length_a 4.7071
_cell_length_b 2.8115
_cell_length_c 14.7191
_cell_angle_alpha 90.00
_cell_angle_beta 90.00
_cell_angle_gamma 90.00
_symmetry_space_group_name_H-M 'A m m 2'
_symmetry_Int_Tables_number 38
_symmetry_space_group_name_Hall 'A 2 -2'
loop_
_atom_site_label
_atom_site_fract_x
_atom_site_fract_y
_atom_site_fract_z
Fe1 0.0000 0.0000 0.0000
Au1 0.0000 0.0000 0.3398
Au2 0.0000 0.0000 0.6605
Au3 0.5000 0.0000 0.2255
Au4 0.5000 0.0000 0.5559
Au5 0.5000 0.0000 0.8940
```

Results
Calculated volume in A^3/atom: 16.2
ΔE_f in meV per atom: 35
Energy in eV/cell: -727.405
Total magnetization in μB/atom: 0.5668


(9)
A plane-wave DFT calculation with meta-GGA SCAN was carried out for FeGeAu2 at its PBEsol-relaxed geometry.

Cell and atoms, written as CIF:
```
data_FeGeAu2
_chemical_formula_sum 'Fe4 Ge4 Au8'
_cell_length_a 6.3335
_cell_length_b 6.3335
_cell_length_c 6.3335
_cell_angle_alpha 90.00
_cell_angle_beta 90.00
_cell_angle_gamma 90.00
_symmetry_space_group_name_H-M 'F m -3 m'
_symmetry_Int_Tables_number 225
_symmetry_space_group_name_Hall '-F 4 2 3'
loop_
_atom_site_label
_atom_site_fract_x
_atom_site_fract_y
_atom_site_fract_z
Fe1 0.0000 0.0000 0.0000
Ge1 0.0000 0.0000 0.5000
Au1 0.2500 0.2500 0.2500
```

Results
Calculated volume in A^3/atom: 15.9
ΔE_f in meV per atom: 125
Energy in eV/cell: -700.119
Total magnetization in μB/atom: 0.7902


(10)
A plane-wave DFT calculation with meta-GGA SCAN was carried out for Fe3HAu at its PBEsol-relaxed geometry.

Cell and atoms, written as CIF:
```
data_Fe3HAu
_chemical_formula_sum 'Fe3 H1 Au1'
_cell_length_a 3.7313
_cell_length_b 3.7313
_cell_length_c 3.7313
_cell_angle_alpha 90.00
_cell_angle_beta 90.00
_cell_angle_gamma 90.00
_symmetry_space_group_name_H-M 'P m -3 m'
_symmetry_Int_Tables_number 221
_symmetry_space_group_name_Hall '-P 4 2 3'
loop_
_atom_site_label
_atom_site_fract_x
_atom_site_fract_y
_atom_site_fract_z
Fe1 0.0000 0.0000 0.5000
H1 0.0000 0.0000 0.0000
Au1 0.5000 0.5000 0.5000
```

Results
Calculated volume in A^3/atom: 10.4
Energy in eV/cell: -127.377
Total magnetization in μB/atom: 1.6288


(11)
A plane-wave DFT calculation with meta-GGA SCAN was carried out for FeH3Au at its PBEsol-relaxed geometry.

Cell and atoms, written as CIF:
```
data_FeH3Au
_chemical_formula_sum 'Fe1 H3 Au1'
_cell_length_a 3.3009
_cell_length_b 3.3009
_cell_length_c 3.3009
_cell_angle_alpha 90.00
_cell_angle_beta 90.00
_cell_angle_gamma 90.00
_symmetry_space_group_name_H-M 'P m -3 m'
_symmetry_Int_Tables_number 221
_symmetry_space_group_name_Hall '-P 4 2 3'
loop_
_atom_site_label
_atom_site_fract_x
_atom_site_fract_y
_atom_site_fract_z
Fe1 0.0000 0.0000 0.0000
H1 0.0000 0.0000 0.5000
Au1 0.5000 0.5000 0.5000
```

Results
Calculated volume in A^3/atom: 7.2
Energy in eV/cell: -95.178
Total magnetization in μB/atom: 0.3073


(12)
A plane-wave DFT calculation with meta-GGA SCAN was carried out for Hf2FeAu at its PBEsol-relaxed geometry.

Cell and atoms, written as CIF:
```
data_Hf2FeAu
_chemical_formula_sum 'Hf8 Fe4 Au4'
_cell_length_a 6.4924
_cell_length_b 6.4924
_cell_length_c 6.4924
_cell_angle_alpha 90.00
_cell_angle_beta 90.00
_cell_angle_gamma 90.00
_symmetry_space_group_name_H-M 'F m -3 m'
_symmetry_Int_Tables_number 225
_symmetry_space_group_name_Hall '-F 4 2 3'
loop_
_atom_site_label
_atom_site_fract_x
_atom_site_fract_y
_atom_site_fract_z
Hf1 0.2500 0.2500 0.2500
Fe1 0.0000 0.0000 0.0000
Au1 0.0000 0.0000 0.5000
```

Results
Calculated volume in A^3/atom: 17.1
ΔE_f in meV per atom: -431
Energy in eV/cell: -857.422
Total magnetization in μB/atom: 0.1912


(13)
A plane-wave DFT calculation with meta-GGA SCAN was carried out for FeHg2Au at its PBEsol-relaxed geometry.

Cell and atoms, written as CIF:
```
data_FeHg2Au
_chemical_formula_sum 'Fe1 Hg2 Au1'
_cell_length_a 2.9224
_cell_length_b 2.9224
_cell_length_c 8.3317
_cell_angle_alpha 90.00
_cell_angle_beta 90.00
_cell_angle_gamma 90.00
_symmetry_space_group_name_H-M 'P 4 m m'
_symmetry_Int_Tables_number 99
_symmetry_space_group_name_Hall 'P 4 -2'
loop_
_atom_site_label
_atom_site_fract_x
_atom_site_fract_y
_atom_site_fract_z
Fe1 0.0000 0.0000 0.0000
Hg1 0.0000 0.0000 0.5286
Hg2 0.5000 0.5000 0.2271
Au1 0.5000 0.5000 0.7979
```

Results
Calculated volume in A^3/atom: 17.8
ΔE_f in meV per atom: 156
Polymorph energy (0 for the lowest one) in kJ/mol of formula units: 0
Energy in eV/cell: -222.994
Total magnetization in μB/atom: 0.7923